(1)
An optimized crystal structure of GdY3Os, computed with PBE.

Cell: 5.4447 5.4447 5.4447 Å, 90.00 90.00 90.00°
Fractional coordinates of all 5 atoms:
Gd (0.0000, 0.0000, 0.0000)
Y (0.0000, 0.5000, 0.5000)
Y (0.5000, 0.0000, 0.5000)
Y (0.5000, 0.5000, 0.0000)
Os (0.5000, 0.5000, 0.5000)

E_tot: -8.93 eV/atom
SG: No. 221

***

(2)
An optimized crystal structure of GdYOs4, computed with PBE.

Cell: 5.3724 5.3724 5.3724 Å, 60.00 60.00 60.00°
Fractional coordinates of all 6 atoms:
Gd (0.0000, 0.0000, 0.0000)
Y (0.7500, 0.7500, 0.7500)
Os (0.3750, 0.3750, 0.3750)
Os (0.3750, 0.3750, 0.8749)
Os (0.3750, 0.8749, 0.3750)
Os (0.8749, 0.3750, 0.3750)

E_tot: -11.15 eV/atom
SG: No. 216

***

(3)
An optimized crystal structure of Gd3YOs, computed with PBE.

Cell: 5.4635 5.4635 5.4635 Å, 90.00 90.00 90.00°
Fractional coordinates of all 5 atoms:
Gd (0.0000, 0.0000, 0.5000)
Gd (0.0000, 0.5000, 0.0000)
Gd (0.5000, 0.0000, 0.0000)
Y (0.5000, 0.5000, 0.5000)
Os (0.0000, 0.0000, 0.0000)

E_tot: -11.96 eV/atom
SG: No. 221

***

(4)
An optimized crystal structure of GdYOs, computed with PBE.

Cell: 4.8061 4.8061 4.8061 Å, 60.00 60.00 60.00°
Fractional coordinates of all 3 atoms:
Gd (0.0000, 0.0000, 0.0000)
Y (0.5000, 0.5000, 0.5000)
Os (0.7500, 0.7500, 0.7500)

energy relative to the lowest polymorph listed for this composition: 24 meV per atom
SG: No. 216

***

(5)
An optimized crystal structure of GdYOs, computed with PBE.

Cell: 7.0727 7.0727 7.0727 Å, 152.08 152.08 39.89°
Fractional coordinates of all 3 atoms:
Gd (0.0000, 0.0000, 0.0000)
Y (0.2510, 0.2510, 0.0000)
Os (0.6262, 0.6262, 0.0000)

energy relative to the lowest polymorph listed for this composition: 0 meV per atom
SG: No. 107

***

(6)
An optimized crystal structure of GdZr2Os, computed with PBE.

Cell: 3.3100 3.3100 8.0826 Å, 90.00 90.00 90.00°
Fractional coordinates of all 4 atoms:
Gd (0.0000, 0.0000, 0.0000)
Zr (0.5000, 0.5000, 0.3012)
Zr (0.5000, 0.5000, 0.6988)
Os (0.0000, 0.0000, 0.5000)

energy relative to the lowest polymorph listed for this composition: 0 meV per atom
SG: No. 123

***

(7)
An optimized crystal structure of GdZrOs4, computed with PBE.

Cell: 5.3140 5.3140 5.3140 Å, 60.00 60.00 60.00°
Fractional coordinates of all 6 atoms:
Gd (0.0000, 0.0000, 0.0000)
Zr (0.2500, 0.2500, 0.2500)
Os (0.1257, 0.6248, 0.6248)
Os (0.6248, 0.1257, 0.6248)
Os (0.6248, 0.6248, 0.1257)
Os (0.6248, 0.6248, 0.6248)

E_tot: -11.51 eV/atom
SG: No. 216

***

(8)
An optimized crystal structure of GdZr2Os, computed with PBE.

Cell: 4.8791 4.8791 4.8791 Å, 60.00 60.00 60.00°
Fractional coordinates of all 4 atoms:
Gd (0.0000, 0.0000, 0.0000)
Zr (0.2500, 0.2500, 0.2500)
Zr (0.7500, 0.7500, 0.7500)
Os (0.5000, 0.5000, 0.5000)

energy relative to the lowest polymorph listed for this composition: 104 meV per atom
SG: No. 225

***

M_tot, record by record: 7.766, 6.560, 22.010, 7.095, 7.053, 7.639, 6.875, 7.625 Bohr magnetons per cell
DOS(E_F), record by record: 1.84, 0.90, 1.08, 0.55, 0.51, 1.45, 0.91, 1.26 states/eV per atom